[1]
The following is a DFT calculation (PBE) of an optimized crystal structure of GaSi2Ni2.

Its space-group type is No. 127. Its total energy is -26.34 eV/f.u.

Cell lengths 7.2430, 7.2430, 2.4892 Å; angles 90.00, 90.00, 90.00 degrees
Sites, in units of the cell vectors:
Ni1 0.6635 0.8365 0.5000
Ni2 0.3365 0.1635 0.5000
Ga1 0.0000 0.0000 0.0000
Si1 0.1294 0.3706 0.0000
Ni3 0.1635 0.6635 0.5000
Ni4 0.8365 0.3365 0.5000
Si2 0.3706 0.8706 0.0000
Si3 0.6294 0.1294 0.0000
Ga2 0.5000 0.5000 0.0000
Si4 0.8706 0.6294 0.0000

***

[2]
The following is a DFT calculation (PBE) of an optimized crystal structure of PuTe2Ir.

Its space-group type is No. 166. Its total energy is -29.56 eV/f.u.

Cell lengths 3.9193, 3.9193, 9.4374 Å; angles 78.02, 78.02, 60.00 degrees
Site moments in Bohr magnetons follow the coordinates.
Sites, in units of the cell vectors:
Ir1 0.5000 0.5000 0.5000  0.03
Te1 0.1152 0.1152 0.6543  -0.03
Te2 0.8848 0.8848 0.3457  -0.03
Pu1 0.0000 0.0000 0.0000  5.88

***

Total magnetization for every record listed, in sequence, given in μB/f.u.: 0.00 6.72.
ΔE_f (raw) for every record listed, in sequence, given in eV/atom: -0.18 -0.02.
Theoretical density for every record listed, in sequence, given in g cm⁻³: 6.19 9.42.